# 1
A relaxed structure of SrIn2SiS6, computed with PBE.

- uncorrected energy (Ha/atom) = -0.164
- symmetry = R3
- magnetic moment (μB per formula unit) = 0.00

abc: 7.119 7.119 7.119
angles: 55.36 55.36 55.36
Atoms (fractional coordinates):
Sr: 0.000 0.000 0.000
In: 0.276 0.276 0.276
In: 0.798 0.798 0.798
Si: 0.476 0.476 0.476
S: 0.110 0.652 0.435
S: 0.242 0.571 0.845
S: 0.435 0.110 0.652
S: 0.571 0.845 0.242
S: 0.652 0.435 0.110
S: 0.845 0.242 0.571

---

# 2
A relaxed structure of SrInSi2S6, computed with PBE.

- uncorrected energy (Ha/atom) = -0.177
- symmetry = C2/c
- magnetic moment (μB per formula unit) = 0.00

abc: 8.974 8.974 6.326
angles: 97.67 97.67 90.39
Atoms (fractional coordinates):
Sr: 0.110 0.890 0.750
Sr: 0.890 0.110 0.250
In: 0.303 0.697 0.250
In: 0.697 0.303 0.750
Si: 0.209 0.368 0.736
Si: 0.368 0.209 0.236
Si: 0.632 0.791 0.764
Si: 0.791 0.632 0.264
S: 0.026 0.213 0.698
S: 0.144 0.580 0.866
S: 0.213 0.026 0.198
S: 0.290 0.405 0.432
S: 0.405 0.290 0.932
S: 0.420 0.856 0.634
S: 0.580 0.144 0.366
S: 0.595 0.710 0.068
S: 0.710 0.595 0.568
S: 0.787 0.974 0.802
S: 0.856 0.420 0.134
S: 0.974 0.787 0.302

---

# 3
A relaxed structure of InSiTc2S, computed with PBE.

- uncorrected energy (Ha/atom) = -0.169
- symmetry = P4/mmm
- magnetic moment (μB per formula unit) = 5.34

abc: 5.143 5.143 4.780
angles: 90.00 90.00 90.00
Atoms (fractional coordinates):
In: 0.000 0.000 0.000
Si: 0.500 0.500 0.500
Tc: 0.000 0.500 0.000
Tc: 0.500 0.000 0.000
S: 0.000 0.000 0.500

---

# 4
A relaxed structure of TlInSi2S6, computed with PBE.

- uncorrected energy (Ha/atom) = -0.167
- symmetry = C2/c
- magnetic moment (μB per formula unit) = 0.00

abc: 9.348 9.348 6.359
angles: 100.88 100.88 96.40
Atoms (fractional coordinates):
Tl: 0.099 0.901 0.750
Tl: 0.901 0.099 0.250
In: 0.245 0.755 0.250
In: 0.755 0.245 0.750
Si: 0.228 0.373 0.815
Si: 0.373 0.228 0.315
Si: 0.627 0.772 0.685
Si: 0.772 0.627 0.185
S: 0.036 0.213 0.747
S: 0.162 0.585 0.893
S: 0.213 0.036 0.247
S: 0.311 0.410 0.524
S: 0.410 0.311 0.024
S: 0.415 0.838 0.607
S: 0.585 0.162 0.393
S: 0.590 0.689 0.976
S: 0.689 0.590 0.476
S: 0.787 0.964 0.753
S: 0.838 0.415 0.107
S: 0.964 0.787 0.253

---

# 5
A relaxed structure of VInSi2S, computed with PBE.

- uncorrected energy (Ha/atom) = -0.157
- symmetry = P4/mmm
- magnetic moment (μB per formula unit) = 0.13

abc: 4.457 4.457 5.123
angles: 90.00 90.00 90.00
Atoms (fractional coordinates):
V: 0.000 0.000 0.000
In: 0.500 0.500 0.000
Si: 0.000 0.500 0.500
Si: 0.500 0.000 0.500
S: 0.500 0.500 0.500

---

# 6
A relaxed structure of Sm2InS, computed with PBE.

- polymorph energy (0 for the lowest one) (meV/atom) = 10.5
- uncorrected energy (Ha/atom) = -0.194
- symmetry = Cmcm
- magnetic moment (μB per formula unit) = 0.00

abc: 11.935 11.935 4.388
angles: 90.00 90.00 160.39
Atoms (fractional coordinates):
Sm: 0.078 0.922 0.750
Sm: 0.311 0.689 0.750
Sm: 0.689 0.311 0.250
Sm: 0.922 0.078 0.250
In: 0.459 0.541 0.750
In: 0.541 0.459 0.250
S: 0.194 0.806 0.750
S: 0.806 0.194 0.250

---

# 7
A relaxed structure of Sm3InS6, computed with PBE.

- uncorrected energy (Ha/atom) = -0.215
- symmetry = Pnnm
- magnetic moment (μB per formula unit) = 0.00

abc: 13.738 16.714 3.934
angles: 90.00 90.00 90.00
Atoms (fractional coordinates):
Sm: 0.040 0.224 0.000
Sm: 0.189 0.646 0.000
Sm: 0.249 0.893 0.500
Sm: 0.251 0.393 0.000
Sm: 0.311 0.146 0.500
Sm: 0.460 0.724 0.500
Sm: 0.540 0.276 0.500
Sm: 0.689 0.854 0.500
Sm: 0.749 0.607 0.000
Sm: 0.751 0.107 0.500
Sm: 0.811 0.354 0.000
Sm: 0.960 0.776 0.000
In: 0.000 0.000 0.500
In: 0.000 0.500 0.500
In: 0.500 0.000 0.000
In: 0.500 0.500 0.000
S: 0.021 0.396 0.000
S: 0.095 0.914 0.000
S: 0.111 0.116 0.500
S: 0.112 0.747 0.500
S: 0.181 0.286 0.500
S: 0.191 0.520 0.500
S: 0.309 0.020 0.000
S: 0.319 0.786 0.000
S: 0.388 0.247 0.000
S: 0.389 0.616 0.000
S: 0.405 0.414 0.500
S: 0.479 0.896 0.500
S: 0.521 0.104 0.500
S: 0.595 0.586 0.500
S: 0.611 0.384 0.000
S: 0.612 0.753 0.000
S: 0.681 0.214 0.000
S: 0.691 0.980 0.000
S: 0.809 0.480 0.500
S: 0.819 0.714 0.500
S: 0.888 0.253 0.500
S: 0.889 0.884 0.500
S: 0.905 0.086 0.000
S: 0.979 0.604 0.000

---

# 8
A relaxed structure of SmIn6S8, computed with PBE.

- uncorrected energy (Ha/atom) = -0.152
- symmetry = R-3
- magnetic moment (μB per formula unit) = 0.00

abc: 7.203 7.203 7.203
angles: 94.89 94.89 94.89
Atoms (fractional coordinates):
Sm: 0.000 0.000 0.000
In: 0.228 0.620 0.337
In: 0.337 0.228 0.620
In: 0.380 0.663 0.772
In: 0.620 0.337 0.228
In: 0.663 0.772 0.380
In: 0.772 0.380 0.663
S: 0.097 0.360 0.828
S: 0.172 0.903 0.640
S: 0.259 0.259 0.259
S: 0.360 0.828 0.097
S: 0.640 0.172 0.903
S: 0.741 0.741 0.741
S: 0.828 0.097 0.360
S: 0.903 0.640 0.172

---

- What is the uncorrected energy in the fourth record?
  -0.167 Ha/atom